(1)
# NbFe3Pd

A geometry-optimized NbFe3Pd structure (PBE, the Alexandria database).

```
NbFe3Pd
1.0
4.460 0.000 0.000
0.000 4.460 0.000
0.000 0.000 4.460
Nb Fe Pd
1 3 1
direct
0.000 0.000 0.000
0.000 0.500 0.000
0.000 0.000 0.500
0.500 0.000 0.000
0.500 0.500 0.500
```

Properties
Mass density   6.865 g cm⁻³
Formation enthalpy at 0 K   137.4 kJ/mol of atoms
SG   No. 221
Uncorrected energy   -33.53 eV for the cell shown
Magnetic moment   5.2 μB/f.u.
Offset from the most stable computed form   96 meV per atom

=====

(2)
# NdScZnPt

A geometry-optimized NdScZnPt structure (PBE, the Alexandria database).

```
NdScZnPt
1.0
-0.388 -3.766 3.182
3.369 -0.574 3.575
-1.225 0.861 4.713
Sc Zn Nd Pt
1 1 1 1
direct
0.750 0.750 0.750
0.000 0.000 0.000
0.250 0.250 0.250
0.500 0.500 0.500
```

Properties
Mass density   8.731 g cm⁻³
Formation enthalpy at 0 K   -65.3 kJ/mol of atoms
SG   No. 216
Uncorrected energy   -21.12 eV for the cell shown
Magnetic moment   0.0 μB/f.u.

=====

Question: Which value of formation enthalpy at 0 K does entry 2 give?
Answer: -65.3 kJ/mol of atoms